No. 1
First-principles (GGA-PBE) data for a geometry-optimized YAlSe3 structure, as listed in the Alexandria database.

```
YAlSe3
1.0
-11.097 17.555 10.493
-3.943 0.686 -5.317
1.500 -8.286 -2.181
Se Al Y
12 4 4
Direct
0.689 0.043 0.009
0.500 0.174 0.138
0.500 0.826 0.862
0.000 0.674 0.362
0.095 0.905 0.081
0.189 0.457 0.509
0.405 0.405 0.419
0.000 0.326 0.638
0.811 0.543 0.491
0.311 0.957 0.991
0.905 0.095 0.919
0.595 0.595 0.581
0.502 0.237 0.420
0.998 0.737 0.080
0.002 0.263 0.920
0.498 0.763 0.580
0.621 0.211 0.144
0.879 0.711 0.356
0.379 0.789 0.856
0.121 0.289 0.644
```

M_tot (Bohr magnetons per cell): 0.00
Crystal system: monoclinic
Formation energy (no corrections) (eV/atom): -1.256

***

No. 2
First-principles (GGA-PBE) data for a geometry-optimized La2HoAl structure, as listed in the Alexandria database.

```
La2HoAl
1.0
-3.957 -2.021 -3.076
4.537 -4.721 -2.733
-3.712 -1.600 5.826
La Al Ho
4 2 2
Direct
0.750 0.178 0.318
0.250 0.822 0.682
0.750 0.171 0.859
0.250 0.829 0.141
0.750 0.647 0.825
0.250 0.353 0.175
0.750 0.648 0.319
0.250 0.352 0.681
```

M_tot (Bohr magnetons per cell): 0.00
Crystal system: monoclinic
Energy of formation from the pure elements (meV per atom): -183

***

No. 3
First-principles (GGA-PBE) data for a geometry-optimized CaBePt2 structure, as listed in the Alexandria database.

```
CaBePt2
1.0
2.885 0.000 0.000
0.000 3.698 0.000
0.000 0.000 6.452
Ca Pt Be
1 2 1
Direct
0.500 0.500 0.765
0.000 0.000 0.029
0.500 0.500 0.320
0.000 0.000 0.387
```

M_tot (Bohr magnetons per cell): 0.00
Crystal system: orthorhombic
Energy of formation from the pure elements (meV per atom): -488

***

No. 4
First-principles (GGA-PBE) data for a geometry-optimized Pa2Ga2Si structure, as listed in the Alexandria database.

```
Pa2Ga2Si
1.0
-0.655 0.574 3.617
-1.372 -3.445 0.299
8.231 -1.287 -0.218
Pa Ga Si
2 2 1
Direct
0.590 0.590 0.180
0.410 0.410 0.820
0.750 0.250 0.500
0.250 0.750 0.500
0.000 0.000 0.000
```

M_tot (Bohr magnetons per cell): 0.00
Crystal system: tetragonal
Formation energy (no corrections) (eV/atom): -0.117

***

Please write out number 3 again, unchanged.
First-principles (GGA-PBE) data for a geometry-optimized CaBePt2 structure, as listed in the Alexandria database.

```
CaBePt2
1.0
2.885 0.000 0.000
0.000 3.698 0.000
0.000 0.000 6.452
Ca Pt Be
1 2 1
Direct
0.500 0.500 0.765
0.000 0.000 0.029
0.500 0.500 0.320
0.000 0.000 0.387
```

M_tot (Bohr magnetons per cell): 0.00
Crystal system: orthorhombic
Energy of formation from the pure elements (meV per atom): -488

***

Question: Which value of M_tot does entry 3 give?
Answer: 0.00 Bohr magnetons per cell

***

Copy entry 2 word for word.
First-principles (GGA-PBE) data for a geometry-optimized La2HoAl structure, as listed in the Alexandria database.

```
La2HoAl
1.0
-3.957 -2.021 -3.076
4.537 -4.721 -2.733
-3.712 -1.600 5.826
La Al Ho
4 2 2
Direct
0.750 0.178 0.318
0.250 0.822 0.682
0.750 0.171 0.859
0.250 0.829 0.141
0.750 0.647 0.825
0.250 0.353 0.175
0.750 0.648 0.319
0.250 0.352 0.681
```

M_tot (Bohr magnetons per cell): 0.00
Crystal system: monoclinic
Energy of formation from the pure elements (meV per atom): -183